Entry 1:
Compound: Pm8NiPt3Br4
Source: Alexandria via LeMat-Bulk
Functional: GGA-PBE
Structure: optimized geometry

a = 8.341 Å, b = 9.085 Å, c = 8.341 Å
α = 117.37°, β = 120.00°, γ = 90.00°
Sites, in units of the cell vectors:
Pm1 0.733 0.699 0.466
Pm2 0.772 0.305 0.032
Pm3 0.228 0.695 0.968
Pm4 0.772 0.305 0.544
Pm5 0.228 0.695 0.456
Pm6 0.267 0.301 0.534
Pm7 0.260 0.305 0.032
Pm8 0.740 0.695 0.968
Ni1 0.000 0.500 0.000
Pt1 0.500 0.500 0.500
Pt2 0.000 0.500 0.500
Pt3 0.500 0.500 0.000
Br1 0.500 0.000 0.500
Br2 0.500 0.000 0.000
Br3 0.000 0.000 0.500
Br4 0.000 0.000 0.000

size of the total moment = 0.00 μB/cell
ΔE_f (raw) = -1140 meV/atom
energy = -5.43 eV/atom

Entry 2:
Compound: Pm6NiPt2Br3
Source: Alexandria via LeMat-Bulk
Functional: GGA-PBE
Structure: optimized geometry

a = 4.163 Å, b = 9.070 Å, c = 9.976 Å
α = 109.71°, β = 102.04°, γ = 90.00°
Sites, in units of the cell vectors:
Pm1 0.322 0.446 0.643
Pm2 0.650 0.103 0.300
Pm3 0.678 0.554 0.357
Pm4 0.350 0.897 0.700
Pm5 0.990 0.787 0.981
Pm6 0.010 0.213 0.019
Pt1 0.834 0.671 0.669
Pt2 0.166 0.329 0.331
Br1 0.500 0.500 0.000
Br2 0.834 0.167 0.668
Br3 0.166 0.833 0.332
Ni1 0.500 0.000 0.000

size of the total moment = 0.00 μB/cell
ΔE_f (raw) = -1102 meV/atom
energy = -5.38 eV/atom

Entry 3:
Compound: RbPmNiBr6
Source: Alexandria via LeMat-Bulk
Functional: GGA-PBE
Structure: optimized geometry

a = 7.136 Å, b = 7.136 Å, c = 7.694 Å
α = 90.01°, β = 89.99°, γ = 59.99°
Each line ends with the local moment (μB).
Sites, in units of the cell vectors:
Br1 0.031 0.355 0.298  0.08
Br2 0.355 0.613 0.298  0.08
Br3 0.031 0.614 0.702  0.08
Br4 0.355 0.031 0.702  0.08
Br5 0.613 0.355 0.702  0.08
Br6 0.614 0.031 0.298  0.08
Pm1 0.667 0.667 0.500  0.00
Rb1 0.000 0.000 0.000  0.00
Ni1 0.333 0.333 0.500  1.43

size of the total moment = 2.08 μB/cell
ΔE_f (raw) = -1314 meV/atom
energy = -3.71 eV/atom

Entry 4:
Compound: Pm8NiRh3Br4
Source: Alexandria via LeMat-Bulk
Functional: GGA-PBE
Structure: optimized geometry

a = 8.181 Å, b = 9.094 Å, c = 8.178 Å
α = 116.73°, β = 120.01°, γ = 90.00°
Sites, in units of the cell vectors:
Pm1 0.733 0.698 0.465
Pm2 0.735 0.693 0.964
Pm3 0.229 0.693 0.459
Pm4 0.229 0.693 0.964
Pm5 0.265 0.307 0.036
Pm6 0.771 0.307 0.541
Pm7 0.267 0.302 0.535
Pm8 0.771 0.307 0.036
Br1 0.000 0.000 0.500
Br2 0.000 0.000 0.000
Br3 0.500 0.000 0.000
Br4 0.500 0.000 0.500
Rh1 0.500 0.500 0.500
Rh2 0.500 0.500 0.000
Rh3 0.000 0.500 0.500
Ni1 0.000 0.500 0.000

size of the total moment = 0.00 μB/cell
ΔE_f (raw) = -1018 meV/atom
energy = -5.55 eV/atom

Entry 5:
Compound: Pm8Ni3RhBr4
Source: Alexandria via LeMat-Bulk
Functional: GGA-PBE
Structure: optimized geometry

a = 8.129 Å, b = 9.029 Å, c = 8.129 Å
α = 116.75°, β = 120.00°, γ = 90.00°
Sites, in units of the cell vectors:
Pm1 0.767 0.306 0.039
Pm2 0.233 0.694 0.961
Pm3 0.272 0.306 0.039
Pm4 0.728 0.694 0.961
Pm5 0.270 0.309 0.539
Pm6 0.730 0.691 0.461
Pm7 0.767 0.306 0.534
Pm8 0.233 0.694 0.466
Ni1 0.500 0.500 0.000
Ni2 0.000 0.500 0.500
Ni3 0.500 0.500 0.500
Br1 0.000 0.000 0.000
Br2 0.500 0.000 0.000
Br3 0.500 0.000 0.500
Br4 0.000 0.000 0.500
Rh1 0.000 0.500 0.000

size of the total moment = 0.00 μB/cell
ΔE_f (raw) = -880 meV/atom
energy = -5.22 eV/atom

Entry 6:
Compound: Pm6NiRh2Br3
Source: Alexandria via LeMat-Bulk
Functional: GGA-PBE
Structure: optimized geometry

a = 7.073 Å, b = 7.073 Å, c = 8.117 Å
α = 98.35°, β = 98.35°, γ = 120.00°
Sites, in units of the cell vectors:
Pm1 0.395 0.065 0.194
Pm2 0.605 0.935 0.806
Pm3 0.935 0.605 0.806
Pm4 0.065 0.395 0.194
Pm5 0.735 0.735 0.194
Pm6 0.265 0.265 0.806
Ni1 0.000 0.000 0.000
Rh1 0.333 0.667 0.000
Rh2 0.667 0.333 0.000
Br1 0.834 0.166 0.500
Br2 0.166 0.834 0.500
Br3 0.500 0.500 0.500

size of the total moment = 0.00 μB/cell
ΔE_f (raw) = -993 meV/atom
energy = -5.49 eV/atom

Entry 7:
Compound: Pm6NiRu2Br3
Source: Alexandria via LeMat-Bulk
Functional: GGA-PBE
Structure: optimized geometry

a = 6.993 Å, b = 6.993 Å, c = 8.184 Å
α = 98.19°, β = 98.19°, γ = 119.99°
Sites, in units of the cell vectors:
Pm1 0.730 0.730 0.196
Pm2 0.599 0.935 0.804
Pm3 0.065 0.401 0.196
Pm4 0.401 0.065 0.196
Pm5 0.935 0.599 0.804
Pm6 0.270 0.270 0.804
Br1 0.168 0.832 0.500
Br2 0.832 0.168 0.500
Br3 0.500 0.500 0.500
Ru1 0.667 0.333 0.000
Ru2 0.333 0.667 0.000
Ni1 0.000 0.000 0.000

size of the total moment = 0.00 μB/cell
ΔE_f (raw) = -820 meV/atom
energy = -5.64 eV/atom

Entry 8:
Compound: Pm8Ni3RuBr4
Source: Alexandria via LeMat-Bulk
Functional: GGA-PBE
Structure: optimized geometry

a = 8.092 Å, b = 9.041 Å, c = 8.092 Å
α = 116.55°, β = 120.00°, γ = 90.00°
Sites, in units of the cell vectors:
Br1 0.500 0.000 0.000
Br2 0.000 0.000 0.000
Br3 0.500 0.000 0.500
Br4 0.000 0.000 0.500
Pm1 0.270 0.309 0.540
Pm2 0.268 0.305 0.037
Pm3 0.231 0.695 0.963
Pm4 0.732 0.695 0.963
Pm5 0.769 0.305 0.537
Pm6 0.730 0.691 0.460
Pm7 0.769 0.305 0.037
Pm8 0.231 0.695 0.463
Ni1 0.500 0.500 0.000
Ni2 0.500 0.500 0.500
Ni3 0.000 0.500 0.500
Ru1 0.000 0.500 0.000

size of the total moment = 0.00 μB/cell
ΔE_f (raw) = -829 meV/atom
energy = -5.29 eV/atom

Entry 9:
Compound: Pm4NiSBr2
Source: Alexandria via LeMat-Bulk
Functional: GGA-PBE
Structure: optimized geometry

a = 3.969 Å, b = 7.232 Å, c = 7.730 Å
α = 107.25°, β = 90.00°, γ = 90.00°
Sites, in units of the cell vectors:
Pm1 0.500 0.784 0.800
Pm2 0.000 0.266 0.796
Pm3 0.500 0.216 0.200
Pm4 0.000 0.734 0.204
Ni1 0.000 0.000 0.000
Br1 0.500 0.000 0.500
Br2 0.000 0.500 0.500
S1 0.500 0.500 0.000

size of the total moment = 0.00 μB/cell
ΔE_f (raw) = -1212 meV/atom
energy = -5.24 eV/atom

Entry 10:
Compound: Pm6Ni2SBr3
Source: Alexandria via LeMat-Bulk
Functional: GGA-PBE
Structure: optimized geometry

a = 7.117 Å, b = 7.117 Å, c = 7.756 Å
α = 98.79°, β = 98.79°, γ = 119.84°
Sites, in units of the cell vectors:
S1 0.000 0.000 0.000
Pm1 0.934 0.584 0.803
Pm2 0.285 0.285 0.804
Pm3 0.715 0.715 0.196
Pm4 0.066 0.416 0.197
Pm5 0.416 0.066 0.197
Pm6 0.584 0.934 0.803
Br1 0.840 0.160 0.500
Br2 0.500 0.500 0.500
Br3 0.160 0.840 0.500
Ni1 0.333 0.667 0.000
Ni2 0.667 0.333 0.000

size of the total moment = 0.00 μB/cell
ΔE_f (raw) = -1079 meV/atom
energy = -5.18 eV/atom

Entry 11:
Compound: Pm4NiSe2Br
Source: Alexandria via LeMat-Bulk
Functional: GGA-PBE
Structure: optimized geometry

a = 4.033 Å, b = 7.342 Å, c = 7.396 Å
α = 71.99°, β = 90.00°, γ = 90.00°
Sites, in units of the cell vectors:
Se1 0.000 0.000 0.000
Se2 0.500 0.000 0.500
Pm1 0.000 0.241 0.270
Pm2 0.500 0.271 0.722
Pm3 0.000 0.759 0.730
Pm4 0.500 0.729 0.278
Ni1 0.000 0.500 0.500
Br1 0.500 0.500 0.000

size of the total moment = 0.00 μB/cell
ΔE_f (raw) = -1276 meV/atom
energy = -5.45 eV/atom

Entry 12:
Compound: Pm8Ni3SeBr4
Source: Alexandria via LeMat-Bulk
Functional: GGA-PBE
Structure: optimized geometry

a = 8.226 Å, b = 8.865 Å, c = 8.227 Å
α = 117.66°, β = 119.99°, γ = 90.00°
Sites, in units of the cell vectors:
Br1 0.000 0.000 0.000
Br2 0.500 0.000 0.000
Br3 0.000 0.000 0.500
Br4 0.500 0.000 0.500
Pm1 0.243 0.705 0.962
Pm2 0.270 0.310 0.540
Pm3 0.719 0.705 0.962
Pm4 0.730 0.690 0.460
Pm5 0.757 0.296 0.515
Pm6 0.757 0.295 0.038
Pm7 0.281 0.295 0.038
Pm8 0.243 0.704 0.485
Ni1 0.500 0.500 0.000
Ni2 0.500 0.500 0.500
Ni3 0.000 0.500 0.500
Se1 0.000 0.500 0.000

size of the total moment = 0.00 μB/cell
ΔE_f (raw) = -964 meV/atom
energy = -5.06 eV/atom

Entry 13:
Compound: Pm6Ni2SeBr3
Source: Alexandria via LeMat-Bulk
Functional: GGA-PBE
Structure: optimized geometry

a = 7.207 Å, b = 7.207 Å, c = 7.757 Å
α = 98.96°, β = 98.96°, γ = 119.78°
Sites, in units of the cell vectors:
Pm1 0.426 0.067 0.199
Pm2 0.708 0.708 0.198
Pm3 0.574 0.933 0.801
Pm4 0.067 0.426 0.199
Pm5 0.292 0.292 0.802
Pm6 0.933 0.574 0.801
Br1 0.159 0.841 0.500
Br2 0.841 0.159 0.500
Br3 0.500 0.500 0.500
Se1 0.000 0.000 0.000
Ni1 0.333 0.667 0.000
Ni2 0.667 0.333 0.000

size of the total moment = 0.00 μB/cell
ΔE_f (raw) = -1051 meV/atom
energy = -5.10 eV/atom

Entry 14:
Compound: Pm6SiNi2Br3
Source: Alexandria via LeMat-Bulk
Functional: GGA-PBE
Structure: optimized geometry

a = 4.061 Å, b = 8.988 Å, c = 9.745 Å
α = 107.68°, β = 102.03°, γ = 90.00°
Sites, in units of the cell vectors:
Ni1 0.169 0.339 0.338
Ni2 0.831 0.661 0.662
Br1 0.839 0.162 0.678
Br2 0.500 0.500 0.000
Br3 0.161 0.838 0.322
Pm1 0.014 0.235 0.028
Pm2 0.986 0.765 0.972
Pm3 0.340 0.878 0.679
Pm4 0.660 0.122 0.321
Pm5 0.322 0.446 0.644
Pm6 0.678 0.554 0.356
Si1 0.500 0.000 0.000

size of the total moment = 0.00 μB/cell
ΔE_f (raw) = -866 meV/atom
energy = -5.07 eV/atom

Entry 15:
Compound: Pm4SiNiBr2
Source: Alexandria via LeMat-Bulk
Functional: GGA-PBE
Structure: optimized geometry

a = 4.056 Å, b = 7.435 Å, c = 7.705 Å
α = 107.13°, β = 90.00°, γ = 90.00°
Sites, in units of the cell vectors:
Pm1 0.500 0.217 0.196
Pm2 0.000 0.259 0.787
Pm3 0.500 0.783 0.804
Pm4 0.000 0.741 0.213
Br1 0.000 0.500 0.500
Br2 0.500 0.000 0.500
Ni1 0.000 0.000 0.000
Si1 0.500 0.500 0.000

size of the total moment = 0.00 μB/cell
ΔE_f (raw) = -896 meV/atom
energy = -5.09 eV/atom

Entry 16:
Compound: Pm8TcNi3Br4
Source: Alexandria via LeMat-Bulk
Functional: GGA-PBE
Structure: optimized geometry

a = 8.050 Å, b = 9.081 Å, c = 8.051 Å
α = 116.32°, β = 120.00°, γ = 90.00°
Sites, in units of the cell vectors:
Br1 0.500 0.000 0.000
Br2 0.000 0.000 0.000
Br3 0.000 0.000 0.500
Br4 0.500 0.000 0.500
Pm1 0.232 0.698 0.464
Pm2 0.232 0.698 0.966
Pm3 0.768 0.302 0.536
Pm4 0.768 0.302 0.034
Pm5 0.270 0.311 0.541
Pm6 0.266 0.302 0.034
Pm7 0.730 0.689 0.459
Pm8 0.734 0.698 0.966
Ni1 0.500 0.500 0.000
Ni2 0.000 0.500 0.500
Ni3 0.500 0.500 0.500
Tc1 0.000 0.500 0.000

size of the total moment = 0.00 μB/cell
ΔE_f (raw) = -762 meV/atom
energy = -5.29 eV/atom

Entry 17:
Compound: Pm6Ni2TeBr3
Source: Alexandria via LeMat-Bulk
Functional: GGA-PBE
Structure: optimized geometry

a = 4.059 Å, b = 9.142 Å, c = 9.740 Å
α = 103.95°, β = 102.03°, γ = 90.00°
Sites, in units of the cell vectors:
Pm1 0.676 0.549 0.353
Pm2 0.980 0.735 0.960
Pm3 0.329 0.860 0.657
Pm4 0.020 0.265 0.040
Pm5 0.324 0.451 0.647
Pm6 0.671 0.140 0.343
Ni1 0.832 0.661 0.665
Ni2 0.168 0.339 0.335
Br1 0.500 0.500 0.000
Br2 0.160 0.836 0.320
Br3 0.840 0.164 0.680
Te1 0.500 0.000 0.000

size of the total moment = 0.00 μB/cell
ΔE_f (raw) = -942 meV/atom
energy = -4.96 eV/atom

Entry 18:
Compound: Pm3NiTeBr
Source: Alexandria via LeMat-Bulk
Functional: GGA-PBE
Structure: optimized geometry

a = 4.005 Å, b = 7.446 Å, c = 12.630 Å
α = 115.80°, β = 90.00°, γ = 90.00°
Sites, in units of the cell vectors:
Br1 0.750 0.841 0.367
Br2 0.250 0.159 0.633
Pm1 0.250 0.701 0.496
Pm2 0.750 0.299 0.504
Pm3 0.250 0.127 0.884
Pm4 0.250 0.572 0.828
Pm5 0.750 0.428 0.172
Pm6 0.750 0.873 0.116
Ni1 0.750 0.441 0.946
Ni2 0.250 0.559 0.054
Te1 0.750 0.757 0.701
Te2 0.250 0.243 0.299

size of the total moment = 0.00 μB/cell
ΔE_f (raw) = -933 meV/atom
energy = -5.07 eV/atom

Entry 19:
Compound: Pm6TlNi2Br3
Source: Alexandria via LeMat-Bulk
Functional: GGA-PBE
Structure: optimized geometry

a = 4.036 Å, b = 9.182 Å, c = 9.944 Å
α = 106.34°, β = 101.71°, γ = 90.00°
Sites, in units of the cell vectors:
Pm1 0.980 0.733 0.960
Pm2 0.321 0.440 0.641
Pm3 0.020 0.267 0.040
Pm4 0.333 0.861 0.666
Pm5 0.679 0.560 0.359
Pm6 0.667 0.139 0.334
Br1 0.165 0.838 0.329
Br2 0.500 0.500 0.000
Br3 0.835 0.162 0.671
Ni1 0.170 0.347 0.339
Ni2 0.830 0.653 0.661
Tl1 0.500 0.000 0.000

size of the total moment = 0.00 μB/cell
ΔE_f (raw) = -756 meV/atom
energy = -4.71 eV/atom

Entry 20:
Compound: Pm6ZnNi2Br3
Source: Alexandria via LeMat-Bulk
Functional: GGA-PBE
Structure: optimized geometry

a = 4.036 Å, b = 9.020 Å, c = 9.855 Å
α = 109.40°, β = 101.82°, γ = 90.00°
Sites, in units of the cell vectors:
Ni1 0.835 0.668 0.669
Ni2 0.165 0.332 0.331
Pm1 0.661 0.117 0.322
Pm2 0.987 0.751 0.973
Pm3 0.681 0.553 0.361
Pm4 0.319 0.447 0.639
Pm5 0.339 0.883 0.678
Pm6 0.013 0.249 0.027
Br1 0.500 0.500 0.000
Br2 0.164 0.834 0.328
Br3 0.836 0.166 0.672
Zn1 0.500 0.000 0.000

size of the total moment = 0.00 μB/cell
ΔE_f (raw) = -754 meV/atom
energy = -4.62 eV/atom